Record 1
# Co2B3W2 PBE optimized geometry
data_Co2B3W2
_chemical_formula_sum 'Co2 B3 W2'
_symmetry_space_group_name_H-M 'P 1'
_symmetry_Int_Tables_number 1
_symmetry_space_group_name_Hall 'P 1'
_cell_length_a 4.9465
_cell_length_b 4.9465
_cell_length_c 5.4010
_cell_angle_alpha 118.30
_cell_angle_beta 118.30
_cell_angle_gamma 36.88
loop_
_atom_site_label
_atom_site_fract_x
_atom_site_fract_y
_atom_site_fract_z
Co1 0.1525 0.1525 0.2837
Co2 0.8475 0.8475 0.7163
B1 0.4273 0.4273 0.5734
B2 0.5000 0.5000 0.0000
B3 0.5727 0.5727 0.4266
W1 0.1424 0.1424 0.7822
W2 0.8576 0.8576 0.2178
# Formation energy from the elements, eV/atom: -0.1979

---

Record 2
# TbPmSm3 PBE optimized geometry
data_TbPmSm3
_chemical_formula_sum 'Tb2 Pm2 Sm6'
_symmetry_space_group_name_H-M 'P 1'
_symmetry_Int_Tables_number 1
_symmetry_space_group_name_Hall 'P 1'
_cell_length_a 6.3456
_cell_length_b 6.8837
_cell_length_c 9.3591
_cell_angle_alpha 108.59
_cell_angle_beta 90.01
_cell_angle_gamma 117.43
loop_
_atom_site_label
_atom_site_fract_x
_atom_site_fract_y
_atom_site_fract_z
Tb1 0.1345 0.0987 0.3512
Tb2 0.8655 0.9013 0.6488
Pm1 0.4665 0.1000 0.8485
Pm2 0.5335 0.9000 0.1515
Sm1 0.0649 0.2991 0.0514
Sm2 0.2664 0.6985 0.4514
Sm3 0.3336 0.4989 0.7503
Sm4 0.6664 0.5011 0.2497
Sm5 0.7336 0.3015 0.5486
Sm6 0.9351 0.7009 0.9486
# Formation energy from the elements, eV/atom: 0.0259
# Energy above the lowest structure with this stoichiometry, eV/atom: 0.000

---

Record 3
# Fe2BMoS PBE optimized geometry
data_Fe2BMoS
_chemical_formula_sum 'Fe2 B1 Mo1 S1'
_symmetry_space_group_name_H-M 'P 1'
_symmetry_Int_Tables_number 1
_symmetry_space_group_name_Hall 'P 1'
_cell_length_a 4.6643
_cell_length_b 4.6643
_cell_length_c 4.0415
_cell_angle_alpha 90.00
_cell_angle_beta 90.00
_cell_angle_gamma 90.00
loop_
_atom_site_label
_atom_site_fract_x
_atom_site_fract_y
_atom_site_fract_z
Fe1 0.0000 0.5000 0.0000
Fe2 0.5000 0.0000 0.0000
B1 0.0000 0.0000 0.5000
Mo1 0.0000 0.0000 0.0000
S1 0.5000 0.5000 0.5000
# Formation energy (no corrections), meV/atom: 1667.2

---

Record 4
# AlRe2Pd PBE optimized geometry
data_AlRe2Pd
_chemical_formula_sum 'Al2 Re4 Pd2'
_symmetry_space_group_name_H-M 'P 1'
_symmetry_Int_Tables_number 1
_symmetry_space_group_name_Hall 'P 1'
_cell_length_a 5.6429
_cell_length_b 5.6429
_cell_length_c 5.6429
_cell_angle_alpha 101.93
_cell_angle_beta 101.93
_cell_angle_gamma 125.92
loop_
_atom_site_label
_atom_site_fract_x
_atom_site_fract_y
_atom_site_fract_z
Al1 0.0000 0.0000 0.0000
Al2 0.7500 0.2500 0.5000
Re1 0.1145 0.6250 0.9895
Re2 0.3750 0.3645 0.4895
Re3 0.6355 0.1250 0.0105
Re4 0.8750 0.8855 0.5105
Pd1 0.2500 0.7500 0.5000
Pd2 0.5000 0.5000 0.0000
# Formation energy from the elements, eV/atom: 0.7257

---

Record 5
# HgPPb2 PBE optimized geometry
data_HgPPb2
_chemical_formula_sum 'Hg1 P1 Pb2'
_symmetry_space_group_name_H-M 'P 1'
_symmetry_Int_Tables_number 1
_symmetry_space_group_name_Hall 'P 1'
_cell_length_a 6.0101
_cell_length_b 6.0101
_cell_length_c 6.0101
_cell_angle_alpha 140.85
_cell_angle_beta 124.99
_cell_angle_gamma 69.58
loop_
_atom_site_label
_atom_site_fract_x
_atom_site_fract_y
_atom_site_fract_z
Hg1 0.0000 0.0000 0.0000
P1 0.5000 0.5000 0.0000
Pb1 0.2980 0.7980 0.5000
Pb2 0.7020 0.2020 0.5000
# Formation energy from the elements, eV/atom: 0.1988
# Energy above the lowest structure with this stoichiometry, eV/atom: 0.157

---

Record 6
# Pa2P4IrRh3 PBE optimized geometry
data_Pa2P4IrRh3
_chemical_formula_sum 'Pa2 P4 Ir1 Rh3'
_symmetry_space_group_name_H-M 'P 1'
_symmetry_Int_Tables_number 1
_symmetry_space_group_name_Hall 'P 1'
_cell_length_a 4.1732
_cell_length_b 4.1732
_cell_length_c 9.3752
_cell_angle_alpha 90.00
_cell_angle_beta 90.00
_cell_angle_gamma 90.00
loop_
_atom_site_label
_atom_site_fract_x
_atom_site_fract_y
_atom_site_fract_z
Pa1 0.0000 0.5000 0.2426
Pa2 0.5000 0.0000 0.7574
P1 0.0000 0.0000 0.0000
P2 0.0000 0.5000 0.6370
P3 0.5000 0.0000 0.3630
P4 0.5000 0.5000 0.0000
Ir1 0.0000 0.0000 0.5000
Rh1 0.0000 0.5000 0.8852
Rh2 0.5000 0.0000 0.1148
Rh3 0.5000 0.5000 0.5000
# Formation energy from the elements, eV/atom: -0.9481